# 1
# Si2Pd

Crystalline Si2Pd at its relaxed geometry (PBE, Alexandria via LeMat-Bulk).

a = 4.901 Å, b = 4.901 Å, c = 7.580 Å
α = 90.00°, β = 90.00°, γ = 90.00°
Positions (direct):
Pd 0.500 0.000 0.750
Pd 0.500 0.500 0.500
Pd 0.000 0.000 0.000
Pd 0.000 0.500 0.250
Si 0.500 0.000 0.083
Si 0.000 0.000 0.667
Si 0.500 0.500 0.833
Si 0.000 0.500 0.583
Si 0.000 0.500 0.917
Si 0.000 0.000 0.333
Si 0.500 0.000 0.417
Si 0.500 0.500 0.167

total moment = 0.000 μB/cell
SG = I4_1/amd
formation energy without anion corrections = -47 kJ/mol of formula units

=====

# 2
# SiPd

Crystalline SiPd at its relaxed geometry (PBE, Alexandria via LeMat-Bulk).

a = 5.904 Å, b = 4.634 Å, c = 8.993 Å
α = 90.00°, β = 90.00°, γ = 90.00°
Positions (direct):
Si 0.365 0.364 0.795
Si 0.120 0.127 0.611
Si 0.865 0.136 0.205
Si 0.880 0.627 0.889
Si 0.380 0.873 0.111
Si 0.635 0.864 0.705
Si 0.620 0.373 0.389
Si 0.135 0.636 0.295
Pd 0.746 0.356 0.649
Pd 0.687 0.133 0.952
Pd 0.187 0.367 0.048
Pd 0.246 0.144 0.351
Pd 0.254 0.856 0.851
Pd 0.813 0.867 0.452
Pd 0.754 0.644 0.149
Pd 0.313 0.633 0.548

total moment = 0.000 μB/cell
SG = P2_12_12_1
formation energy without anion corrections = -77 kJ/mol of formula units

=====

# 3
# SiPd3

Crystalline SiPd3 at its relaxed geometry (PBE, Alexandria via LeMat-Bulk).

a = 5.302 Å, b = 5.895 Å, c = 7.628 Å
α = 90.00°, β = 90.00°, γ = 90.00°
Positions (direct):
Pd 0.599 0.507 0.250
Pd 0.175 0.679 0.448
Pd 0.401 0.493 0.750
Pd 0.325 0.179 0.052
Pd 0.325 0.179 0.448
Pd 0.825 0.321 0.948
Pd 0.675 0.821 0.948
Pd 0.675 0.821 0.552
Pd 0.825 0.321 0.552
Pd 0.175 0.679 0.052
Pd 0.901 0.007 0.250
Pd 0.099 0.993 0.750
Si 0.534 0.108 0.750
Si 0.466 0.892 0.250
Si 0.034 0.392 0.250
Si 0.966 0.608 0.750

total moment = 0.000 μB/cell
SG = Pnma
formation energy without anion corrections = -231 kJ/mol of formula units

=====

# 4
# SiPd3

Crystalline SiPd3 at its relaxed geometry (PBE, Alexandria via LeMat-Bulk).

a = 4.818 Å, b = 7.389 Å, c = 7.389 Å
α = 83.90°, β = 70.97°, γ = 70.97°
Positions (direct):
Pd 0.114 0.392 0.336
Pd 0.827 0.809 0.030
Pd 0.532 0.045 0.397
Pd 0.143 0.030 0.191
Pd 0.549 0.336 0.608
Pd 0.843 0.608 0.664
Pd 0.974 0.955 0.603
Pd 0.493 0.664 0.392
Pd 0.666 0.191 0.970
Pd 0.364 0.970 0.809
Pd 0.423 0.603 0.045
Pd 0.071 0.397 0.955
Si 0.058 0.246 0.673
Si 0.977 0.754 0.327
Si 0.269 0.673 0.754
Si 0.697 0.327 0.246

total moment = 0.000 μB/cell
SG = I-4
formation energy without anion corrections = -222 kJ/mol of formula units

=====

# 5
# SiPd4

Crystalline SiPd4 at its relaxed geometry (PBE, Alexandria via LeMat-Bulk).

a = 10.732 Å, b = 10.732 Å, c = 10.732 Å
α = 15.28°, β = 15.28°, γ = 15.28°
Positions (direct):
Si 0.000 0.000 0.000
Pd 0.609 0.609 0.609
Pd 0.797 0.797 0.797
Pd 0.203 0.203 0.203
Pd 0.391 0.391 0.391

excess energy over the best structure of this formula in the dataset = 201.7 meV per atom
total moment = 0.000 μB/cell
SG = R-3m
formation energy without anion corrections = -124 kJ/mol of formula units

=====

# 6
# SiPd

Crystalline SiPd at its relaxed geometry (PBE, Alexandria via LeMat-Bulk).

a = 4.008 Å, b = 14.480 Å, c = 10.275 Å
α = 90.00°, β = 90.00°, γ = 90.00°
Positions (direct):
Si 0.250 0.250 0.935
Si 0.000 0.000 0.185
Si 0.250 0.250 0.565
Si 0.000 0.500 0.315
Si 0.250 0.750 0.065
Si 0.250 0.750 0.435
Si 0.750 0.750 0.935
Si 0.500 0.000 0.685
Si 0.000 0.500 0.685
Si 0.500 0.500 0.815
Si 0.750 0.250 0.065
Si 0.500 0.000 0.315
Si 0.750 0.250 0.435
Si 0.750 0.750 0.565
Si 0.500 0.500 0.185
Si 0.000 0.000 0.815
Pd 0.500 0.399 0.000
Pd 0.000 0.899 0.000
Pd 0.750 0.351 0.250
Pd 0.500 0.101 0.500
Pd 0.250 0.649 0.250
Pd 0.250 0.851 0.250
Pd 0.250 0.149 0.750
Pd 0.500 0.601 0.000
Pd 0.750 0.851 0.750
Pd 0.750 0.149 0.250
Pd 0.500 0.899 0.500
Pd 0.000 0.101 0.000
Pd 0.000 0.601 0.500
Pd 0.250 0.351 0.750
Pd 0.000 0.399 0.500
Pd 0.750 0.649 0.750

total moment = 0.000 μB/cell
SG = Fddd
formation energy without anion corrections = -54 kJ/mol of formula units

=====

# 7
# SiPd2

Crystalline SiPd2 at its relaxed geometry (PBE, Alexandria via LeMat-Bulk).

a = 7.808 Å, b = 7.808 Å, c = 2.759 Å
α = 90.00°, β = 90.00°, γ = 120.00°
Positions (direct):
Pd 0.000 0.602 0.000
Pd 0.254 0.000 0.000
Pd 0.602 0.000 0.000
Pd 0.398 0.398 0.000
Pd 0.000 0.254 0.000
Pd 0.746 0.746 0.000
Si 0.000 0.000 0.500
Si 0.333 0.667 0.000
Si 0.667 0.333 0.000

total moment = 0.000 μB/cell
SG = P-62m
formation energy without anion corrections = -60 kJ/mol of formula units

=====

# 8
# SiPd

Crystalline SiPd at its relaxed geometry (PBE, Alexandria via LeMat-Bulk).

a = 8.962 Å, b = 8.962 Å, c = 3.689 Å
α = 90.00°, β = 90.00°, γ = 120.00°
Positions (direct):
Pd 0.358 0.450 0.750
Pd 0.908 0.358 0.250
Pd 0.092 0.642 0.750
Pd 0.550 0.908 0.750
Pd 0.450 0.092 0.250
Pd 0.642 0.550 0.250
Si 0.712 0.066 0.250
Si 0.354 0.288 0.250
Si 0.066 0.354 0.750
Si 0.934 0.646 0.250
Si 0.288 0.934 0.750
Si 0.646 0.712 0.750

total moment = 0.000 μB/cell
SG = P6_3/m
formation energy without anion corrections = -19 kJ/mol of formula units

=====

# 9
# Si2Pd

Crystalline Si2Pd at its relaxed geometry (PBE, Alexandria via LeMat-Bulk).

a = 3.628 Å, b = 4.348 Å, c = 5.987 Å
α = 90.00°, β = 93.34°, γ = 90.00°
Positions (direct):
Si 0.803 0.750 0.253
Si 0.308 0.750 0.529
Si 0.692 0.250 0.471
Si 0.197 0.250 0.747
Pd 0.250 0.750 0.939
Pd 0.750 0.250 0.061

total moment = 0.000 μB/cell
SG = P2_1/m
formation energy without anion corrections = -52 kJ/mol of formula units

=====

# 10
# SiPd4

Crystalline SiPd4 at its relaxed geometry (PBE, Alexandria via LeMat-Bulk).

a = 3.913 Å, b = 4.025 Å, c = 9.897 Å
α = 90.00°, β = 90.00°, γ = 90.00°
Positions (direct):
Pd 0.500 0.499 0.355
Pd 0.000 0.500 0.857
Pd 0.500 0.501 0.645
Pd 0.000 0.000 0.357
Pd 0.000 0.000 0.643
Pd 0.000 0.500 0.143
Pd 0.500 0.999 0.145
Pd 0.500 0.001 0.855
Si 0.000 0.500 0.500
Si 0.000 0.000 0.000

excess energy over the best structure of this formula in the dataset = 0.0 meV per atom
total moment = 0.000 μB/cell
SG = Cmmm
formation energy without anion corrections = -221 kJ/mol of formula units

=====

# 11
# SiPd

Crystalline SiPd at its relaxed geometry (PBE, Alexandria via LeMat-Bulk).

a = 7.350 Å, b = 7.350 Å, c = 7.350 Å
α = 90.00°, β = 90.00°, γ = 90.00°
Positions (direct):
Si 0.683 0.683 0.683
Si 0.183 0.183 0.183
Si 0.817 0.183 0.817
Si 0.317 0.683 0.317
Si 0.183 0.817 0.817
Si 0.683 0.317 0.317
Si 0.817 0.817 0.183
Si 0.317 0.317 0.683
Pd 0.138 0.862 0.138
Pd 0.638 0.362 0.638
Pd 0.862 0.138 0.138
Pd 0.362 0.638 0.638
Pd 0.862 0.862 0.862
Pd 0.362 0.362 0.362
Pd 0.138 0.138 0.862
Pd 0.638 0.638 0.362

total moment = 0.000 μB/cell
SG = I-43m
formation energy without anion corrections = -3 kJ/mol of formula units

=====

# 12
# SiPd6

Crystalline SiPd6 at its relaxed geometry (PBE, Alexandria via LeMat-Bulk).

a = 5.042 Å, b = 5.042 Å, c = 8.517 Å
α = 90.00°, β = 90.00°, γ = 100.66°
Positions (direct):
Pd 0.843 0.843 0.096
Pd 0.843 0.843 0.404
Pd 0.319 0.681 0.500
Pd 0.969 0.618 0.750
Pd 0.382 0.031 0.250
Pd 0.618 0.969 0.750
Pd 0.157 0.157 0.596
Pd 0.681 0.319 0.500
Pd 0.319 0.681 0.000
Pd 0.031 0.382 0.250
Pd 0.157 0.157 0.904
Pd 0.681 0.319 0.000
Si 0.480 0.480 0.750
Si 0.520 0.520 0.250

total moment = 0.000 μB/cell
SG = Cmcm
formation energy without anion corrections = -204 kJ/mol of formula units

=====

# 13
# Si2Pd

Crystalline Si2Pd at its relaxed geometry (PBE, Alexandria via LeMat-Bulk).

a = 3.836 Å, b = 4.553 Å, c = 6.142 Å
α = 83.94°, β = 72.59°, γ = 67.48°
Positions (direct):
Si 0.561 0.341 0.615
Si 0.383 0.903 0.406
Si 0.014 0.563 0.964
Si 0.490 0.856 0.800
Pd 0.930 0.073 0.141
Pd 0.124 0.484 0.366

total moment = 0.000 μB/cell
SG = P1
formation energy without anion corrections = -43 kJ/mol of formula units

=====

# 14
# Sm2Si3Pd5

Crystalline Sm2Si3Pd5 at its relaxed geometry (PBE, Alexandria via LeMat-Bulk).

a = 4.275 Å, b = 6.746 Å, c = 12.398 Å
α = 90.00°, β = 99.93°, γ = 90.00°
Positions (direct):
Pd 0.407 0.325 0.813
Pd 0.277 0.997 0.553
Pd 0.723 0.497 0.447
Pd 0.945 0.056 0.891
Pd 0.299 0.586 0.599
Pd 0.872 0.731 0.744
Pd 0.128 0.231 0.256
Pd 0.593 0.825 0.187
Pd 0.701 0.086 0.401
Pd 0.055 0.556 0.109
Sm 0.826 0.254 0.652
Sm 0.475 0.722 0.951
Sm 0.174 0.754 0.348
Sm 0.525 0.222 0.049
Si 0.622 0.462 0.244
Si 0.051 0.928 0.103
Si 0.378 0.962 0.756
Si 0.228 0.304 0.455
Si 0.772 0.804 0.545
Si 0.949 0.428 0.897

total moment = 0.000 μB/cell
SG = Cmc2_1
formation energy without anion corrections = -787 kJ/mol of formula units

=====

# 15
# SmSiPd

Crystalline SmSiPd at its relaxed geometry (PBE, Alexandria via LeMat-Bulk).

a = 4.362 Å, b = 4.362 Å, c = 3.725 Å
α = 90.00°, β = 90.00°, γ = 120.00°
Positions (direct):
Sm 0.000 0.000 0.000
Pd 0.333 0.667 0.500
Si 0.667 0.333 0.500

total moment = 0.000 μB/cell
SG = P-6m2
formation energy without anion corrections = -263 kJ/mol of formula units

=====

# 16
# SmSi2Pd

Crystalline SmSi2Pd at its relaxed geometry (PBE, Alexandria via LeMat-Bulk).

a = 4.179 Å, b = 4.198 Å, c = 8.791 Å
α = 103.80°, β = 90.00°, γ = 90.00°
Positions (direct):
Si 0.750 0.468 0.930
Si 0.250 0.532 0.070
Si 0.750 0.748 0.500
Si 0.250 0.252 0.500
Pd 0.250 0.679 0.353
Pd 0.750 0.321 0.647
Sm 0.250 0.897 0.796
Sm 0.750 0.103 0.204

total moment = 0.000 μB/cell
SG = P2_1/m
formation energy without anion corrections = -322 kJ/mol of formula units

=====

# 17
# SmSi3Pd3

Crystalline SmSi3Pd3 at its relaxed geometry (PBE, Alexandria via LeMat-Bulk).

a = 4.198 Å, b = 8.900 Å, c = 8.901 Å
α = 119.99°, β = 90.00°, γ = 90.00°
Positions (direct):
Pd 0.250 0.082 0.369
Pd 0.750 0.713 0.082
Pd 0.250 0.631 0.713
Pd 0.250 0.287 0.918
Pd 0.750 0.369 0.287
Pd 0.750 0.918 0.631
Si 0.750 0.428 0.053
Si 0.750 0.947 0.374
Si 0.250 0.374 0.428
Si 0.250 0.572 0.947
Si 0.250 0.053 0.626
Si 0.750 0.626 0.572
Sm 0.250 0.667 0.333
Sm 0.750 0.333 0.667

excess energy over the best structure of this formula in the dataset = 0.0 meV per atom
total moment = 0.000 μB/cell
SG = P6_3/m
formation energy without anion corrections = -368 kJ/mol of formula units

=====

# 18
# Sm2SiPd

Crystalline Sm2SiPd at its relaxed geometry (PBE, Alexandria via LeMat-Bulk).

a = 3.527 Å, b = 3.527 Å, c = 7.401 Å
α = 90.00°, β = 90.00°, γ = 90.00°
Positions (direct):
Sm 0.000 0.000 0.250
Sm 0.000 0.000 0.750
Pd 0.500 0.500 0.000
Si 0.500 0.500 0.500

total moment = 0.000 μB/cell
SG = P4/mmm
formation energy without anion corrections = -249 kJ/mol of formula units

=====

# 19
# Sm2Si6Pd21

Crystalline Sm2Si6Pd21 at its relaxed geometry (PBE, Alexandria via LeMat-Bulk).

a = 8.683 Å, b = 8.683 Å, c = 8.683 Å
α = 60.00°, β = 60.00°, γ = 60.00°
Positions (direct):
Si 0.735 0.265 0.735
Si 0.265 0.735 0.735
Si 0.735 0.735 0.265
Si 0.265 0.265 0.735
Si 0.265 0.735 0.265
Si 0.735 0.265 0.265
Sm 0.750 0.750 0.750
Sm 0.250 0.250 0.250
Pd 0.000 0.344 0.656
Pd 0.000 0.000 0.656
Pd 0.344 0.656 0.000
Pd 0.846 0.385 0.385
Pd 0.656 0.344 0.000
Pd 0.000 0.344 0.000
Pd 0.615 0.615 0.154
Pd 0.344 0.000 0.656
Pd 0.656 0.000 0.344
Pd 0.385 0.385 0.385
Pd 0.615 0.154 0.615
Pd 0.000 0.000 0.000
Pd 0.000 0.656 0.344
Pd 0.000 0.656 0.000
Pd 0.000 0.000 0.344
Pd 0.344 0.000 0.000
Pd 0.656 0.000 0.000
Pd 0.385 0.846 0.385
Pd 0.385 0.385 0.846
Pd 0.615 0.615 0.615
Pd 0.154 0.615 0.615

total moment = 0.000 μB/cell
SG = Fm-3m
formation energy without anion corrections = -1993 kJ/mol of formula units

=====

# 20
# SmSiPd2

Crystalline SmSiPd2 at its relaxed geometry (PBE, Alexandria via LeMat-Bulk).

a = 4.262 Å, b = 4.262 Å, c = 5.513 Å
α = 67.26°, β = 67.26°, γ = 60.00°
Positions (direct):
Sm 0.000 0.000 0.000
Pd 0.209 0.209 0.372
Pd 0.791 0.791 0.628
Si 0.500 0.500 0.500

total moment = 0.000 μB/cell
SG = R-3m
formation energy without anion corrections = -306 kJ/mol of formula units